No. 1
An optimized crystal structure of SnMo4AuN2. Source: OQMD via LeMat-Bulk, functional PBE.

E	-67.16	eV for the cell shown
symmetry	P-6m2 (187)
total moment	0.01	μB/f.u.

Geometry as CIF:
```
data_SnMo4AuN2
_chemical_formula_sum 'Sn1 Mo4 Au1 N2'
_cell_length_a 3.2364
_cell_length_b 3.2364
_cell_length_c 12.9066
_cell_angle_alpha 90.00
_cell_angle_beta 90.00
_cell_angle_gamma 120.00
_symmetry_space_group_name_H-M 'P 1'
_symmetry_Int_Tables_number 1
loop_
_symmetry_equiv_pos_as_xyz
'x,y,z'
loop_
_atom_site_label
_atom_site_type_symbol
_atom_site_fract_x
_atom_site_fract_y
_atom_site_fract_z
Au1 Au 0.6667 0.3333 0.5000
Mo1 Mo 0.6667 0.3333 0.1749
Mo2 Mo 0.0000 0.0000 0.3298
Mo3 Mo 0.0000 0.0000 0.6702
Mo4 Mo 0.6667 0.3333 0.8251
N1 N 0.3333 0.6667 0.2577
N2 N 0.3333 0.6667 0.7423
Sn1 Sn 0.0000 0.0000 0.0000
```



No. 2
An optimized crystal structure of Mo4W2Au3N3. Source: OQMD via LeMat-Bulk, functional PBE.

E	-205.97	eV for the cell shown
symmetry	C2/c (15)
total moment	0.00	μB/f.u.

Geometry as CIF:
```
data_Mo4W2Au3N3
_chemical_formula_sum 'Mo8 W4 Au6 N6'
_cell_length_a 5.3165
_cell_length_b 5.3165
_cell_length_c 13.8021
_cell_angle_alpha 100.74
_cell_angle_beta 100.74
_cell_angle_gamma 63.05
_symmetry_space_group_name_H-M 'P 1'
_symmetry_Int_Tables_number 1
loop_
_symmetry_equiv_pos_as_xyz
'x,y,z'
loop_
_atom_site_label
_atom_site_type_symbol
_atom_site_fract_x
_atom_site_fract_y
_atom_site_fract_z
Au1 Au 0.7683 0.5648 0.2357
Au2 Au 0.0993 0.9007 0.2500
Au3 Au 0.4352 0.2317 0.2643
Au4 Au 0.5648 0.7683 0.7357
Au5 Au 0.9007 0.0993 0.7500
Au6 Au 0.2317 0.4352 0.7643
Mo1 Mo 0.6778 0.8876 0.0796
Mo2 Mo 0.0778 0.1765 0.0847
Mo3 Mo 0.8235 0.9222 0.4153
Mo4 Mo 0.1124 0.3222 0.4204
Mo5 Mo 0.8876 0.6778 0.5796
Mo6 Mo 0.1765 0.0778 0.5847
Mo7 Mo 0.9222 0.8235 0.9153
Mo8 Mo 0.3222 0.1124 0.9204
N1 N 0.0000 0.5000 0.0000
N2 N 0.3317 0.7955 0.0030
N3 N 0.2045 0.6683 0.4970
N4 N 0.5000 0.0000 0.5000
N5 N 0.7955 0.3317 0.5030
N6 N 0.6683 0.2045 0.9970
W1 W 0.3632 0.4744 0.0896
W2 W 0.5256 0.6368 0.4104
W3 W 0.4744 0.3632 0.5896
W4 W 0.6368 0.5256 0.9104
```



No. 3
An optimized crystal structure of Mo2W4Au3N3. Source: OQMD via LeMat-Bulk, functional PBE.

E	-213.23	eV for the cell shown
symmetry	C2/c (15)
total moment	0.00	μB/f.u.

Geometry as CIF:
```
data_Mo2W4Au3N3
_chemical_formula_sum 'Mo4 W8 Au6 N6'
_cell_length_a 5.3331
_cell_length_b 5.3331
_cell_length_c 14.2916
_cell_angle_alpha 103.93
_cell_angle_beta 103.93
_cell_angle_gamma 60.35
_symmetry_space_group_name_H-M 'P 1'
_symmetry_Int_Tables_number 1
loop_
_symmetry_equiv_pos_as_xyz
'x,y,z'
loop_
_atom_site_label
_atom_site_type_symbol
_atom_site_fract_x
_atom_site_fract_y
_atom_site_fract_z
Au1 Au 0.8275 0.5596 0.2452
Au2 Au 0.0898 0.9102 0.2500
Au3 Au 0.4404 0.1725 0.2548
Au4 Au 0.5596 0.8275 0.7452
Au5 Au 0.9102 0.0898 0.7500
Au6 Au 0.1725 0.4404 0.7548
Mo1 Mo 0.4236 0.4349 0.1029
Mo2 Mo 0.5651 0.5764 0.3971
Mo3 Mo 0.4349 0.4236 0.6029
Mo4 Mo 0.5764 0.5651 0.8971
N1 N 0.0000 0.5000 0.0000
N2 N 0.3488 0.7532 0.0255
N3 N 0.2468 0.6512 0.4745
N4 N 0.5000 0.0000 0.5000
N5 N 0.7532 0.3488 0.5255
N6 N 0.6512 0.2468 0.9745
W1 W 0.0361 0.1726 0.0745
W2 W 0.6869 0.8503 0.0797
W3 W 0.1497 0.3131 0.4203
W4 W 0.8274 0.9639 0.4255
W5 W 0.1726 0.0361 0.5745
W6 W 0.8503 0.6869 0.5797
W7 W 0.3131 0.1497 0.9203
W8 W 0.9639 0.8274 0.9255
```



No. 4
An optimized crystal structure of Y4Mo2Au3N3. Source: OQMD via LeMat-Bulk, functional PBE.

E	-184.52	eV for the cell shown
symmetry	C2/c (15)
total moment	0.00	μB/f.u.

Geometry as CIF:
```
data_Y4Mo2Au3N3
_chemical_formula_sum 'Y8 Mo4 Au6 N6'
_cell_length_a 5.8944
_cell_length_b 5.8944
_cell_length_c 14.2828
_cell_angle_alpha 102.10
_cell_angle_beta 102.10
_cell_angle_gamma 60.60
_symmetry_space_group_name_H-M 'P 1'
_symmetry_Int_Tables_number 1
loop_
_symmetry_equiv_pos_as_xyz
'x,y,z'
loop_
_atom_site_label
_atom_site_type_symbol
_atom_site_fract_x
_atom_site_fract_y
_atom_site_fract_z
Au1 Au 0.6904 0.5803 0.2481
Au2 Au 0.1496 0.8504 0.2500
Au3 Au 0.4197 0.3096 0.2519
Au4 Au 0.5803 0.6904 0.7481
Au5 Au 0.8504 0.1496 0.7500
Au6 Au 0.3096 0.4197 0.7519
Mo1 Mo 0.3493 0.5200 0.0606
Mo2 Mo 0.4800 0.6507 0.4394
Mo3 Mo 0.5200 0.3493 0.5606
Mo4 Mo 0.6507 0.4800 0.9394
N1 N 0.0000 0.5000 0.0000
N2 N 0.6634 0.1766 0.0006
N3 N 0.8234 0.3366 0.4994
N4 N 0.5000 0.0000 0.5000
N5 N 0.1766 0.6634 0.5006
N6 N 0.3366 0.8234 0.9994
Y1 Y 0.6996 0.8761 0.1036
Y2 Y 0.0429 0.1945 0.1037
Y3 Y 0.8055 0.9571 0.3963
Y4 Y 0.1239 0.3004 0.3964
Y5 Y 0.8761 0.6996 0.6036
Y6 Y 0.1945 0.0429 0.6037
Y7 Y 0.9571 0.8055 0.8963
Y8 Y 0.3004 0.1239 0.8964
```



No. 5
An optimized crystal structure of Na2Mo3Au2. Source: OQMD via LeMat-Bulk, functional PBE.

E	-38.61	eV for the cell shown
symmetry	R3m (160)
total moment	0.02	μB/f.u.

Geometry as CIF:
```
data_Na2Mo3Au2
_chemical_formula_sum 'Na2 Mo3 Au2'
_cell_length_a 7.6663
_cell_length_b 7.6663
_cell_length_c 7.6663
_cell_angle_alpha 34.10
_cell_angle_beta 34.10
_cell_angle_gamma 34.10
_symmetry_space_group_name_H-M 'P 1'
_symmetry_Int_Tables_number 1
loop_
_symmetry_equiv_pos_as_xyz
'x,y,z'
loop_
_atom_site_label
_atom_site_type_symbol
_atom_site_fract_x
_atom_site_fract_y
_atom_site_fract_z
Au1 Au 0.0541 0.0541 0.0541
Au2 Au 0.4862 0.4862 0.4862
Mo1 Mo 0.3269 0.3269 0.3269
Mo2 Mo 0.6199 0.6199 0.6199
Mo3 Mo 0.9301 0.9301 0.9301
Na1 Na 0.1899 0.1899 0.1899
Na2 Na 0.7680 0.7680 0.7680
```



No. 6
An optimized crystal structure of NaNiMoAu. Source: OQMD via LeMat-Bulk, functional PBE.

energy above the lowest structure with this stoichiometry	0.0355	eV/atom
E	-18.62	eV for the cell shown
symmetry	F-43m (216)
total moment	0.00	μB/f.u.

Geometry as CIF:
```
data_NaNiMoAu
_chemical_formula_sum 'Na1 Ni1 Mo1 Au1'
_cell_length_a 4.4024
_cell_length_b 4.4024
_cell_length_c 4.4024
_cell_angle_alpha 60.00
_cell_angle_beta 60.00
_cell_angle_gamma 60.00
_symmetry_space_group_name_H-M 'P 1'
_symmetry_Int_Tables_number 1
loop_
_symmetry_equiv_pos_as_xyz
'x,y,z'
loop_
_atom_site_label
_atom_site_type_symbol
_atom_site_fract_x
_atom_site_fract_y
_atom_site_fract_z
Au1 Au 0.5000 0.5000 0.5000
Mo1 Mo 0.0000 0.0000 0.0000
Na1 Na 0.7500 0.7500 0.7500
Ni1 Ni 0.2500 0.2500 0.2500
```



No. 7
An optimized crystal structure of NaNiMoAu. Source: OQMD via LeMat-Bulk, functional PBE.

energy above the lowest structure with this stoichiometry	0.0000	eV/atom
E	-18.76	eV for the cell shown
symmetry	F-43m (216)
total moment	0.00	μB/f.u.

Geometry as CIF:
```
data_NaNiMoAu
_chemical_formula_sum 'Na1 Ni1 Mo1 Au1'
_cell_length_a 4.4897
_cell_length_b 4.4897
_cell_length_c 4.4897
_cell_angle_alpha 60.00
_cell_angle_beta 60.00
_cell_angle_gamma 60.00
_symmetry_space_group_name_H-M 'P 1'
_symmetry_Int_Tables_number 1
loop_
_symmetry_equiv_pos_as_xyz
'x,y,z'
loop_
_atom_site_label
_atom_site_type_symbol
_atom_site_fract_x
_atom_site_fract_y
_atom_site_fract_z
Au1 Au 0.0000 0.0000 0.0000
Mo1 Mo 0.2500 0.2500 0.2500
Na1 Na 0.7500 0.7500 0.7500
Ni1 Ni 0.5000 0.5000 0.5000
```



No. 8
An optimized crystal structure of NaMoAuS3. Source: OQMD via LeMat-Bulk, functional PBE.

E	-60.30	eV for the cell shown
symmetry	Cmcm (63)
total moment	1.74	μB/f.u.

Geometry as CIF:
```
data_NaMoAuS3
_chemical_formula_sum 'Na2 Mo2 Au2 S6'
_cell_length_a 7.6818
_cell_length_b 7.6818
_cell_length_c 9.7358
_cell_angle_alpha 90.00
_cell_angle_beta 90.00
_cell_angle_gamma 25.53
_symmetry_space_group_name_H-M 'P 1'
_symmetry_Int_Tables_number 1
loop_
_symmetry_equiv_pos_as_xyz
'x,y,z'
loop_
_atom_site_label
_atom_site_type_symbol
_atom_site_fract_x
_atom_site_fract_y
_atom_site_fract_z
Au1 Au 0.6380 0.6380 0.2500
Au2 Au 0.3620 0.3620 0.7500
Mo1 Mo 0.0000 0.0000 0.0000
Mo2 Mo 0.0000 0.0000 0.5000
Na1 Na 0.3035 0.3035 0.2500
Na2 Na 0.6965 0.6965 0.7500
S1 S 0.6213 0.6213 0.0145
S2 S 0.9597 0.9597 0.2500
S3 S 0.6213 0.6213 0.4855
S4 S 0.3787 0.3787 0.5145
S5 S 0.0403 0.0403 0.7500
S6 S 0.3787 0.3787 0.9855
```



No. 9
An optimized crystal structure of NaMoAuSe2S. Source: OQMD via LeMat-Bulk, functional PBE.

E	-56.43	eV for the cell shown
symmetry	Cmcm (63)
total moment	1.59	μB/f.u.

Geometry as CIF:
```
data_NaMoAuSe2S
_chemical_formula_sum 'Na2 Mo2 Au2 Se4 S2'
_cell_length_a 7.2275
_cell_length_b 7.2275
_cell_length_c 9.8153
_cell_angle_alpha 90.00
_cell_angle_beta 90.00
_cell_angle_gamma 151.24
_symmetry_space_group_name_H-M 'P 1'
_symmetry_Int_Tables_number 1
loop_
_symmetry_equiv_pos_as_xyz
'x,y,z'
loop_
_atom_site_label
_atom_site_type_symbol
_atom_site_fract_x
_atom_site_fract_y
_atom_site_fract_z
Au1 Au 0.9412 0.0588 0.2500
Au2 Au 0.0588 0.9412 0.7500
Mo1 Mo 0.5000 0.5000 0.0000
Mo2 Mo 0.5000 0.5000 0.5000
Na1 Na 0.2514 0.7486 0.2500
Na2 Na 0.7486 0.2514 0.7500
S1 S 0.5753 0.4247 0.2500
S2 S 0.4247 0.5753 0.7500
Se1 Se 0.8644 0.1356 0.0199
Se2 Se 0.8644 0.1356 0.4801
Se3 Se 0.1356 0.8644 0.5199
Se4 Se 0.1356 0.8644 0.9801
```



No. 10
An optimized crystal structure of NaTe2MoAuS. Source: OQMD via LeMat-Bulk, functional PBE.

E	-53.52	eV for the cell shown
symmetry	Cmcm (63)
total moment	2.03	μB/f.u.

Geometry as CIF:
```
data_NaTe2MoAuS
_chemical_formula_sum 'Na2 Te4 Mo2 Au2 S2'
_cell_length_a 7.7174
_cell_length_b 7.7174
_cell_length_c 9.9800
_cell_angle_alpha 90.00
_cell_angle_beta 90.00
_cell_angle_gamma 149.93
_symmetry_space_group_name_H-M 'P 1'
_symmetry_Int_Tables_number 1
loop_
_symmetry_equiv_pos_as_xyz
'x,y,z'
loop_
_atom_site_label
_atom_site_type_symbol
_atom_site_fract_x
_atom_site_fract_y
_atom_site_fract_z
Au1 Au 0.9358 0.0642 0.2500
Au2 Au 0.0642 0.9358 0.7500
Mo1 Mo 0.5000 0.5000 0.0000
Mo2 Mo 0.5000 0.5000 0.5000
Na1 Na 0.2724 0.7276 0.2500
Na2 Na 0.7276 0.2724 0.7500
S1 S 0.5440 0.4560 0.2500
S2 S 0.4560 0.5440 0.7500
Te1 Te 0.8641 0.1359 0.0034
Te2 Te 0.8641 0.1359 0.4966
Te3 Te 0.1359 0.8641 0.5034
Te4 Te 0.1359 0.8641 0.9966
```



No. 11
An optimized crystal structure of NaTeMoAuS2. Source: OQMD via LeMat-Bulk, functional PBE.

E	-57.34	eV for the cell shown
symmetry	Cmcm (63)
total moment	2.12	μB/f.u.

Geometry as CIF:
```
data_NaTeMoAuS2
_chemical_formula_sum 'Na2 Te2 Mo2 Au2 S4'
_cell_length_a 7.5503
_cell_length_b 7.5503
_cell_length_c 10.3708
_cell_angle_alpha 90.00
_cell_angle_beta 90.00
_cell_angle_gamma 151.62
_symmetry_space_group_name_H-M 'P 1'
_symmetry_Int_Tables_number 1
loop_
_symmetry_equiv_pos_as_xyz
'x,y,z'
loop_
_atom_site_label
_atom_site_type_symbol
_atom_site_fract_x
_atom_site_fract_y
_atom_site_fract_z
Au1 Au 0.9289 0.0711 0.2500
Au2 Au 0.0711 0.9289 0.7500
Mo1 Mo 0.5000 0.5000 0.0000
Mo2 Mo 0.5000 0.5000 0.5000
Na1 Na 0.2687 0.7313 0.2500
Na2 Na 0.7313 0.2687 0.7500
S1 S 0.8868 0.1132 0.0300
S2 S 0.8868 0.1132 0.4700
S3 S 0.1132 0.8868 0.5300
S4 S 0.1132 0.8868 0.9700
Te1 Te 0.5889 0.4111 0.2500
Te2 Te 0.4111 0.5889 0.7500
```



No. 12
An optimized crystal structure of NaMoAuSe3. Source: OQMD via LeMat-Bulk, functional PBE.

E	-55.45	eV for the cell shown
symmetry	Cmcm (63)
total moment	2.00	μB/f.u.

Geometry as CIF:
```
data_NaMoAuSe3
_chemical_formula_sum 'Na2 Mo2 Au2 Se6'
_cell_length_a 7.1992
_cell_length_b 7.1992
_cell_length_c 10.2210
_cell_angle_alpha 90.00
_cell_angle_beta 90.00
_cell_angle_gamma 149.45
_symmetry_space_group_name_H-M 'P 1'
_symmetry_Int_Tables_number 1
loop_
_symmetry_equiv_pos_as_xyz
'x,y,z'
loop_
_atom_site_label
_atom_site_type_symbol
_atom_site_fract_x
_atom_site_fract_y
_atom_site_fract_z
Au1 Au 0.4275 0.5725 0.2500
Au2 Au 0.5725 0.4275 0.7500
Mo1 Mo 0.0000 0.0000 0.0000
Mo2 Mo 0.0000 0.0000 0.5000
Na1 Na 0.7515 0.2485 0.2500
Na2 Na 0.2485 0.7515 0.7500
Se1 Se 0.3697 0.6303 0.0193
Se2 Se 0.0729 0.9271 0.2500
Se3 Se 0.3697 0.6303 0.4807
Se4 Se 0.6303 0.3697 0.5193
Se5 Se 0.9271 0.0729 0.7500
Se6 Se 0.6303 0.3697 0.9807
```